Entry 1:
Zr5CuHg4 after structural relaxation. Source: Alexandria via LeMat-Bulk, functional PBE-GGA.

Electronic total energy = -4.96 eV/atom
Calculated formation energy = -0.154 eV/atom
Fermi-level density of states = 11.99 states/eV/f.u.
Volume = 209.52 Å³/cell

a b c (Å): 3.2351 3.2351 20.0188
angles (deg): 90.00 90.00 90.00
Closest atoms and distances in Å follow each position.
Space group P4/mmm (No. 123)
Inequivalent atoms, fractional coordinates:
Zr 0.0000 0.0000 0.0000  8 Hg 3.09, 4 Zr 3.24
Zr 0.0000 0.0000 0.2081  8 Hg 3.09, 4 Zr 3.24
Zr 0.0000 0.0000 0.4162  4 Cu 2.84, 4 Hg 3.10
Cu 0.5000 0.5000 0.5000  8 Zr 2.84
Hg 0.5000 0.5000 0.1041  8 Zr 3.09, 4 Hg 3.24
Hg 0.5000 0.5000 0.3121  8 Zr 3.09-3.10, 4 Hg 3.24



Entry 2:
LaEr2Ru after structural relaxation. Source: Alexandria via LeMat-Bulk, functional PBE-GGA.

Electronic total energy = -6.14 eV/atom
Calculated formation energy = -0.312 eV/atom
Fermi-level density of states = 4.40 states/eV/f.u.
Volume = 438.54 Å³/cell

a b c (Å): 7.2807 9.3602 6.4350
angles (deg): 90.00 90.00 90.00
Closest atoms and distances in Å follow each position.
Space group Pnma (No. 62)
Inequivalent atoms, fractional coordinates:
La 0.0491 0.2500 0.1324  2 Ru 2.64-2.94
Er 0.1732 0.0671 0.6668  2 Ru 2.87-2.92
Ru 0.1240 0.7500 0.4550  2 La 2.64-2.94, 4 Er 2.87-2.92